(1)
This record from Alexandria via LeMat-Bulk describes crystalline HfTaMnTc at its relaxed geometry. The functional is GGA-PBE.

a b c (Å): 4.483 4.483 4.483
angles (deg): 60.00 60.00 60.00
Last column: magnetic moment on the atom in μB.
Fractional coordinates of all 4 atoms:
Mn: 0.500 0.500 0.500  0.37
Hf: 0.750 0.750 0.750  -0.05
Tc: 0.000 0.000 0.000  0.07
Ta: 0.250 0.250 0.250  -0.08

- DFT formation energy (eV/atom) = -0.34
- E (eV for the cell shown) = -42.7
- density (g/cm3) = 13.36


(2)
This record from Alexandria via LeMat-Bulk describes crystalline Hf2TaMnTe at its relaxed geometry. The functional is GGA-PBE.

a b c (Å): 5.177 4.602 5.177
angles (deg): 90.00 90.00 90.00
Last column: magnetic moment on the atom in μB.
Fractional coordinates of all 5 atoms:
Te: 0.000 0.000 0.000  -0.02
Hf: 0.000 0.000 0.500  0.02
Hf: 0.500 0.000 0.000  0.01
Mn: 0.000 0.500 0.000  3.17
Ta: 0.500 0.500 0.500  -0.36

- ΔE_f (raw) (eV per atom) = 1.1889
- E (eV for the cell shown) = -38.1
- density (g/cm3) = 9.70


(3)
This record from Alexandria via LeMat-Bulk describes crystalline Hf2TaMnW at its relaxed geometry. The functional is GGA-PBE.

a b c (Å): 4.662 4.561 4.662
angles (deg): 90.00 90.00 90.00
Fractional coordinates of all 5 atoms:
Mn: 0.000 0.000 0.000
Hf: 0.000 0.000 0.500
Hf: 0.500 0.000 0.000
W: 0.000 0.500 0.000
Ta: 0.500 0.500 0.500

- DFT formation energy (eV/atom) = 0.81
- E (eV for the cell shown) = -49.8
- density (g/cm3) = 13.01


(4)
This record from Alexandria via LeMat-Bulk describes crystalline TbHf2Mn at its relaxed geometry. The functional is GGA-PBE.

a b c (Å): 3.209 3.209 8.253
angles (deg): 90.00 90.00 90.00
Fractional coordinates of all 4 atoms:
Tb: 0.500 0.500 0.500
Mn: 0.500 0.500 0.000
Hf: 0.000 0.000 0.819
Hf: 0.000 0.000 0.181

- DFT formation energy (eV/atom) = 0.04
- E (eV for the cell shown) = -33.5
- density (g/cm3) = 11.15


(5)
This record from Alexandria via LeMat-Bulk describes crystalline TbHfMn at its relaxed geometry. The functional is GGA-PBE.

a b c (Å): 6.495 6.682 7.103
angles (deg): 90.00 90.00 119.08
Fractional coordinates of all 12 atoms:
Mn: 0.586 0.172 0.538
Mn: 0.914 0.828 0.038
Mn: 0.414 0.828 0.462
Mn: 0.086 0.172 0.962
Hf: 0.288 0.077 0.250
Hf: 0.212 0.923 0.750
Hf: 0.712 0.923 0.750
Hf: 0.788 0.077 0.250
Tb: 0.805 0.610 0.395
Tb: 0.695 0.390 0.895
Tb: 0.195 0.390 0.605
Tb: 0.305 0.610 0.105

- DFT formation energy (eV/atom) = 0.13
- E (eV for the cell shown) = -93.5
- density (g/cm3) = 9.67


(6)
This record from Alexandria via LeMat-Bulk describes crystalline HfMn2Tc2 at its relaxed geometry. The functional is GGA-PBE.

a b c (Å): 7.336 7.336 2.730
angles (deg): 90.00 90.00 90.00
Last column: magnetic moment on the atom in μB.
Fractional coordinates of all 10 atoms:
Mn: 0.167 0.667 0.500  1.08
Mn: 0.667 0.833 0.500  1.08
Mn: 0.833 0.333 0.500  1.08
Mn: 0.333 0.167 0.500  1.08
Hf: 0.000 0.000 0.000  0.01
Hf: 0.500 0.500 0.000  0.01
Tc: 0.370 0.870 0.000  -0.18
Tc: 0.870 0.630 0.000  -0.19
Tc: 0.630 0.130 0.000  -0.18
Tc: 0.130 0.370 0.000  -0.19

- DFT formation energy (eV/atom) = 0.13
- E (eV for the cell shown) = -96.7
- density (g/cm3) = 10.95


(7)
This record from Alexandria via LeMat-Bulk describes crystalline Hf2Mn3Tc at its relaxed geometry. The functional is GGA-PBE.

a b c (Å): 5.067 5.067 5.002
angles (deg): 90.02 120.41 120.00
Last column: magnetic moment on the atom in μB.
Fractional coordinates of all 6 atoms:
Hf: 0.750 0.375 0.124  -0.27
Hf: 0.250 0.625 0.876  -0.27
Mn: 0.500 0.500 0.500  1.35
Mn: 0.000 0.000 0.500  1.35
Mn: 0.500 0.000 0.500  1.35
Tc: 0.000 0.000 0.000  -0.16

- DFT formation energy (eV/atom) = -0.29
- E (eV for the cell shown) = -59.5
- density (g/cm3) = 11.41


(8)
This record from Alexandria via LeMat-Bulk describes crystalline Hf2Mn9Tc at its relaxed geometry. The functional is GGA-PBE.

a b c (Å): 4.783 4.783 8.322
angles (deg): 73.31 73.31 60.03
Last column: magnetic moment on the atom in μB.
Fractional coordinates of all 12 atoms:
Hf: 0.141 0.141 0.578  -0.05
Hf: 0.859 0.859 0.422  -0.05
Mn: 0.337 0.337 0.990  -0.03
Mn: 0.663 0.663 0.010  -0.03
Mn: 0.500 0.500 0.500  1.16
Mn: 0.587 0.587 0.756  0.00
Mn: 0.587 0.069 0.756  0.03
Mn: 0.069 0.587 0.756  0.03
Mn: 0.413 0.413 0.244  0.00
Mn: 0.931 0.413 0.244  0.03
Mn: 0.413 0.931 0.244  0.03
Tc: 0.000 0.000 0.000  -0.05

- DFT formation energy (eV/atom) = 0.00
- E (eV for the cell shown) = -112.8
- density (g/cm3) = 10.13


(9)
This record from Alexandria via LeMat-Bulk describes crystalline Hf2Mn2Tc at its relaxed geometry. The functional is GGA-PBE.

a b c (Å): 6.142 6.142 4.305
angles (deg): 90.00 90.00 90.00
Fractional coordinates of all 10 atoms:
Mn: 0.377 0.877 0.000
Mn: 0.877 0.623 0.000
Mn: 0.623 0.123 0.000
Mn: 0.123 0.377 0.000
Hf: 0.181 0.681 0.500
Hf: 0.681 0.819 0.500
Hf: 0.819 0.319 0.500
Hf: 0.319 0.181 0.500
Tc: 0.000 0.000 0.000
Tc: 0.500 0.500 0.000

- DFT formation energy (eV/atom) = -0.10
- E (eV for the cell shown) = -98.3
- density (g/cm3) = 11.55


(10)
This record from Alexandria via LeMat-Bulk describes crystalline Hf6MnTc5 at its relaxed geometry. The functional is GGA-PBE.

a b c (Å): 4.608 6.534 8.004
angles (deg): 114.09 106.77 90.00
Last column: magnetic moment on the atom in μB.
Fractional coordinates of all 12 atoms:
Mn: 0.000 0.000 0.000  2.79
Hf: 0.831 0.578 0.662  -0.04
Hf: 0.831 0.084 0.662  -0.04
Hf: 0.500 0.744 0.000  -0.08
Hf: 0.500 0.256 0.000  -0.08
Hf: 0.169 0.916 0.338  -0.04
Hf: 0.169 0.422 0.338  -0.04
Tc: 0.661 0.162 0.323  0.13
Tc: 0.333 0.333 0.665  0.01
Tc: 0.000 0.500 0.000  0.07
Tc: 0.667 0.667 0.335  0.01
Tc: 0.339 0.838 0.677  0.13

- DFT formation energy (eV/atom) = -0.43
- E (eV for the cell shown) = -125.9
- density (g/cm3) = 12.85


(11)
This record from Alexandria via LeMat-Bulk describes crystalline HfMn6Tc2 at its relaxed geometry. The functional is GGA-PBE.

a b c (Å): 2.748 6.655 7.374
angles (deg): 116.83 100.86 90.00
Fractional coordinates of all 9 atoms:
Hf: 0.000 0.000 0.000
Mn: 0.682 0.012 0.363
Mn: 0.318 0.988 0.637
Mn: 0.318 0.649 0.637
Mn: 0.500 0.334 0.000
Mn: 0.500 0.666 0.000
Mn: 0.682 0.351 0.363
Tc: 0.857 0.358 0.716
Tc: 0.143 0.642 0.284

- DFT formation energy (eV/atom) = 0.21
- E (eV for the cell shown) = -83.8
- density (g/cm3) = 9.94


(12)
This record from Alexandria via LeMat-Bulk describes crystalline HfMn9Tc2 at its relaxed geometry. The functional is GGA-PBE.

a b c (Å): 4.716 4.716 8.172
angles (deg): 73.23 73.23 60.00
Fractional coordinates of all 12 atoms:
Hf: 0.000 0.000 0.000
Mn: 0.660 0.660 0.019
Mn: 0.340 0.340 0.981
Mn: 0.500 0.500 0.500
Mn: 0.407 0.407 0.258
Mn: 0.928 0.407 0.258
Mn: 0.407 0.928 0.258
Mn: 0.593 0.593 0.742
Mn: 0.593 0.072 0.742
Mn: 0.072 0.593 0.742
Tc: 0.860 0.860 0.419
Tc: 0.140 0.140 0.581

- DFT formation energy (eV/atom) = -0.05
- E (eV for the cell shown) = -113.8
- density (g/cm3) = 9.72